Compound: InCl
Source: the Alexandria database
Functional: PBE
Structure: relaxed

Cell: 12.104 12.104 4.027 Å, 90.00 90.00 90.00°
Element x y z (fractional)
In (0.422, 0.282, 0.000)
In (0.578, 0.718, 0.000)
In (0.718, 0.422, 0.000)
In (0.282, 0.578, 0.000)
In (0.922, 0.782, 0.500)
In (0.078, 0.218, 0.500)
In (0.218, 0.922, 0.500)
In (0.782, 0.078, 0.500)
Cl (0.360, 0.840, 0.000)
Cl (0.640, 0.160, 0.000)
Cl (0.160, 0.360, 0.000)
Cl (0.840, 0.640, 0.000)
Cl (0.860, 0.340, 0.500)
Cl (0.140, 0.660, 0.500)
Cl (0.660, 0.860, 0.500)
Cl (0.340, 0.140, 0.500)

Properties
Uncorrected formation energy (eV per atom): -0.771
Total DFT energy (no corrections) (Ry/atom): -0.225